The following is a DFT calculation (PBEsol) of a relaxed Ba6Na2Cr2Ru2O17 crystal.

a b c (Å): 5.8204 5.8204 29.3888
angles (deg): 90.00 90.00 120.00
Space group P6_3/mmc (No. 194)
Asymmetric unit:
Ba (0.0000, 0.0000, 0.0000) x2
Ba (0.0000, 0.0000, 0.2500) x2
Ba (0.3333, 0.6667, 0.0955) x4
Ba (0.3333, 0.6667, 0.6795) x4
Na (0.0000, 0.0000, 0.1263) x4
Cr (0.3333, 0.6667, 0.5522) x4
Ru (0.3333, 0.6667, 0.2080) x4
O (0.0118, 0.5059, 0.2500) x6
O (0.1762, 0.3524, 0.5728) x12
O (0.1787, 0.3573, 0.1711) x12
O (0.3333, 0.6667, 0.0046) x4

Results
- V: 862.22 Å³/cell
- E_form (uncorrected): -2.182 eV/atom
- Fermi-level density of states: 27.63 states/eV per cell
- VASP energy: -7.208 eV per atom
- ρ: 5.6 g/cm³
- Size of the total moment: 5.3 μB per formula unit
- Crystal system: hexagonal